No. 1
# Cs3Sc2Br7 (PBE, relaxed)
data_Cs3Sc2Br7
_chemical_formula_sum 'Cs6 Sc4 Br14'
_cell_length_a 5.546
_cell_length_b 28.748
_cell_length_c 5.441
_cell_angle_alpha 90.00
_cell_angle_beta 90.00
_cell_angle_gamma 90.00
_space_group_name_H-M_alt 'C m m m'
_space_group_IT_number 65
_space_group_name_Hall '-C 2 2'
loop_
_atom_site_label
_atom_site_type_symbol
_atom_site_fract_x
_atom_site_fract_y
_atom_site_fract_z
Cs1 Cs 0.000 0.000 0.000
Cs2 Cs 0.000 0.184 0.000
Sc1 Sc 0.000 0.403 0.500
Br1 Br 0.000 0.095 0.500
Br2 Br 0.000 0.307 0.500
Br3 Br 0.000 0.404 0.000
Br4 Br 0.000 0.500 0.500
# Volume   433.7 Å³/f.u.
# Formation energy (no corrections)   -1.616 eV/atom

***

No. 2
# Cs3ScBr6 (PBE, relaxed)
data_Cs3ScBr6
_chemical_formula_sum 'Cs18 Sc6 Br36'
_cell_length_a 13.8009
_cell_length_b 13.8009
_cell_length_c 16.0449
_cell_angle_alpha 90.00
_cell_angle_beta 90.00
_cell_angle_gamma 120.00
_space_group_name_H-M_alt 'R -3'
_space_group_IT_number 148
_space_group_name_Hall '-R 3'
loop_
_atom_site_label
_atom_site_type_symbol
_atom_site_fract_x
_atom_site_fract_y
_atom_site_fract_z
Cs1 Cs 0.0496 0.7853 0.2209
Sc1 Sc 0.0000 0.0000 0.0000
Sc2 Sc 0.0000 0.0000 0.5000
Br1 Br 0.0356 0.8615 0.9043
Br2 Br 0.0828 0.8991 0.5969
# Volume   441.1 Å³/f.u.
# Formation energy (no corrections)   -1.777 eV/atom

***

No. 3
# CsScBr3 (PBE, relaxed)
data_CsScBr3
_chemical_formula_sum 'Cs2 Sc2 Br6'
_cell_length_a 4.330
_cell_length_b 9.750
_cell_length_c 9.760
_cell_angle_alpha 65.86
_cell_angle_beta 77.55
_cell_angle_gamma 77.53
_space_group_name_H-M_alt 'P 1'
_space_group_IT_number 1
loop_
_space_group_symop_operation_xyz
'x,y,z'
loop_
_atom_site_label
_atom_site_type_symbol
_atom_site_fract_x
_atom_site_fract_y
_atom_site_fract_z
Cs1 Cs 0.000 0.000 0.000
Cs2 Cs 0.157 0.346 0.345
Sc1 Sc 0.372 0.490 0.775
Sc2 Sc 0.372 0.775 0.490
Br1 Br 0.236 0.773 0.773
Br2 Br 0.528 0.239 0.704
Br3 Br 0.528 0.705 0.239
Br4 Br 0.814 0.987 0.396
Br5 Br 0.815 0.396 0.987
Br6 Br 0.927 0.576 0.576
# Volume   181.7 Å³/f.u.
# Formation energy (no corrections)   -1.592 eV/atom

***

No. 4
# CsScBr3 (PBE, relaxed)
data_CsScBr3
_chemical_formula_sum 'Cs6 Sc6 Br18'
_cell_length_a 7.4908
_cell_length_b 7.4908
_cell_length_c 24.0095
_cell_angle_alpha 90.00
_cell_angle_beta 90.00
_cell_angle_gamma 120.00
_space_group_name_H-M_alt 'R -3'
_space_group_IT_number 148
_space_group_name_Hall '-R 3'
loop_
_atom_site_label
_atom_site_type_symbol
_atom_site_fract_x
_atom_site_fract_y
_atom_site_fract_z
Cs1 Cs 0.0000 0.0000 0.1482
Sc1 Sc 0.0000 0.0000 0.3332
Br1 Br 0.0000 0.3888 0.9341
# Volume   194.5 Å³/f.u.
# Formation energy (no corrections)   -1.536 eV/atom